AcLa6Pm8 (GGA-PBE, relaxed); energy above the most stable polymorph in this dataset = 0.000 eV per atom; DFT formation energy = 138 meV per atom; symmetry = R-3, No. 148; total moment = 0.0 μB/f.u.; N(E_F) = 23.65 states/eV per cell
1.0
9.601 0.000 0.000
4.800 8.315 0.000
4.800 2.772 6.855
Ac La Pm
1 6 8
Direct
0.000 0.000 0.000
0.448 0.894 0.929
0.106 0.271 0.071
0.271 0.552 0.071
0.729 0.448 0.929
0.894 0.729 0.929
0.552 0.106 0.071
0.351 0.227 0.504
0.773 0.082 0.496
0.082 0.649 0.496
0.571 0.571 0.288
0.429 0.429 0.712
0.918 0.351 0.504
0.227 0.918 0.504
0.649 0.773 0.496

***

MnCu5Au6 (GGA-PBE, relaxed); energy above the most stable polymorph in this dataset = 0.000 eV per atom; DFT formation energy = -42 meV per atom; symmetry = P2/m, No. 10; total moment = 4.3 μB/f.u.; N(E_F) = 4.10 states/eV per cell
1.0
-4.278 0.244 1.605
0.853 -5.074 3.045
3.144 3.489 4.933
Mn Au Cu
1 6 5
Direct
0.000 0.000 0.000
0.824 0.748 0.662
0.824 0.252 0.662
0.500 0.253 0.000
0.500 0.747 0.000
0.176 0.748 0.338
0.176 0.252 0.338
0.675 0.500 0.329
0.326 0.000 0.669
0.000 0.500 0.000
0.674 0.000 0.331
0.325 0.500 0.671

***

Al2TcNi9 (GGA-PBE, relaxed); DFT formation energy = -283 meV per atom; symmetry = P4/mmm, No. 123; total moment = 0.1 μB/f.u.; N(E_F) = 10.88 states/eV per cell
1.0
-3.027 1.488 -1.206
0.310 -1.845 -3.055
-5.653 -8.035 4.279
Al Tc Ni
2 1 9
Direct
0.000 0.000 0.338
0.000 0.000 0.662
0.000 0.000 0.000
0.500 0.500 0.000
0.500 0.500 0.334
0.500 0.500 0.666
0.500 0.000 0.166
0.500 0.000 0.500
0.500 0.000 0.834
0.000 0.500 0.166
0.000 0.500 0.500
0.000 0.500 0.834

***

ZrReBr2 (GGA-PBE, relaxed); ΔE_f (raw) = -233 meV per atom; energy above the most stable polymorph in this dataset = 0.000 eV per atom; symmetry = Pm, No. 6; total moment = 0.0 μB/f.u.; N(E_F) = 3.43 states/eV per cell
1.0
-1.419 -1.173 -2.611
2.362 -2.581 -0.124
-5.349 -5.192 5.239
Re Br Zr
1 2 1
Direct
0.000 0.376 0.529
0.000 0.872 0.948
0.500 0.378 0.315
0.500 0.874 0.708